[1]
# meta-GGA SCAN Tc2MoOs, single point on PBEsol structure
# Crystal system: tetragonal
# Relative energy among the computed polymorphs: 0 meV per atom
# M_tot: 0.0 μB per cell
# Energy of formation: 83 meV per atom
# Total energy: -44.138 eV per atom
# Density of states at the Fermi level: 7.6 states/eV/cell
data_Tc2MoOs
_cell_length_a 3.844
_cell_length_b 3.844
_cell_length_c 7.766
_cell_angle_alpha 90.00
_cell_angle_beta 90.00
_cell_angle_gamma 90.00
_space_group_name_H-M_alt 'I 4/m m m'
_space_group_IT_number 139
_space_group_name_Hall '-I 4 2'
loop_
_atom_site_label
_atom_site_type_symbol
_atom_site_fract_x
_atom_site_fract_y
_atom_site_fract_z
_atom_site_occupancy
Tc1 Tc 0.000 0.500 0.250 1
Mo1 Mo 0.000 0.000 0.000 1
Os1 Os 0.000 0.000 0.500 1



[2]
# meta-GGA SCAN MgTe2MoN, single point on PBEsol structure
# Crystal system: tetragonal
# Energy relative to the elements, uncorrected: 0.50 eV per atom
# M_tot: 2.2 μB per cell
# Total energy: -24.230 eV per atom
# Density of states at the Fermi level: 2.3 states/eV/cell
data_MgTe2MoN
_cell_length_a 4.804
_cell_length_b 4.804
_cell_length_c 3.786
_cell_angle_alpha 90.00
_cell_angle_beta 90.00
_cell_angle_gamma 90.00
_space_group_name_H-M_alt 'P 4/m m m'
_space_group_IT_number 123
_space_group_name_Hall '-P 4 2'
loop_
_atom_site_label
_atom_site_type_symbol
_atom_site_fract_x
_atom_site_fract_y
_atom_site_fract_z
_atom_site_occupancy
Mg1 Mg 0.000 0.000 0.000 1
Te1 Te 0.000 0.500 0.500 1
Mo1 Mo 0.500 0.500 0.000 1
N1 N 0.000 0.000 0.500 1



[3]
# meta-GGA SCAN RhPb2Au, single point on PBEsol structure
# Crystal system: tetragonal
# M_tot: 0.0 μB per cell
# Energy of formation: 223 meV per atom
# Total energy: -63.400 eV per atom
# Density of states at the Fermi level: 4.6 states/eV/cell
data_RhPb2Au
_cell_length_a 4.171
_cell_length_b 4.171
_cell_length_c 9.385
_cell_angle_alpha 90.00
_cell_angle_beta 90.00
_cell_angle_gamma 90.00
_space_group_name_H-M_alt 'I -4 m 2'
_space_group_IT_number 119
_space_group_name_Hall 'I -4 -2'
loop_
_atom_site_label
_atom_site_type_symbol
_atom_site_fract_x
_atom_site_fract_y
_atom_site_fract_z
_atom_site_occupancy
Rh1 Rh 0.000 0.000 0.000 1
Pb1 Pb 0.000 0.000 0.500 1
Pb2 Pb 0.000 0.500 0.750 1
Au1 Au 0.000 0.500 0.250 1



> Which value of total energy does entry 2 give?

-24.230 eV per atom



> Which of these has the lowest density of states at the Fermi level?

MgTe2MoN



> Number 1 is which compound?

Tc2MoOs